Run w
Entry from Alexandria via LeMat-Bulk: a geometry-optimized Mg2TlTc structure (PBE).

Lattice parameters (Å, degrees): 2.9789 2.9789 9.5341 90.00 90.00 106.15
Closest atoms and distances in Å follow each position.
Fractional positions:
Mg 0.0000 0.0000 0.0078  6 Mg 2.98-3.11, 2 Tl 3.21
Mg 0.5000 0.5000 0.2745  2 Tc 2.72, 4 Mg 2.98
Tc 0.0000 0.0000 0.4894  2 Mg 2.72, 2 Tl 2.90, 4 Tc 2.98
Tl 0.5000 0.5000 0.7284  2 Tc 2.90, 4 Tl 2.98, 2 Mg 3.21

Properties
- N(E_F) (states/eV per cell) = 3.17
- space group = Cmm2

Run x
Entry from Alexandria via LeMat-Bulk: a geometry-optimized Mg2TlTc structure (PBE).

Lattice parameters (Å, degrees): 9.6620 9.6620 9.6620 18.62 18.62 18.62
Closest atoms and distances in Å follow each position.
Fractional positions:
Tl 0.7500 0.7500 0.7500  6 Tl 3.13, 6 Mg 3.18
Tc 0.2500 0.2500 0.2500  6 Mg 2.79, 6 Tc 3.13
Mg 0.5085 0.5085 0.5085  3 Tc 2.79, 6 Mg 3.13
Mg 0.9915 0.9915 0.9915  3 Tc 2.79, 6 Mg 3.13

Properties
- N(E_F) (states/eV per cell) = 2.22
- space group = R-3m

Quick look at relative energies in kJ/mol of atoms: run w 9.1; run x 0.0.

Run w
Entry from Alexandria via LeMat-Bulk: a geometry-optimized Mg2TlTc structure (PBE).

Lattice parameters (Å, degrees): 5.3598 5.3598 5.3598 135.91 135.87 64.14
Closest atoms and distances in Å follow each position.
Fractional positions:
Mg 0.0000 0.0000 0.0000  4 Tc 2.85, 4 Mg 3.03-3.04, 4 Tl 3.03
Mg 0.2502 0.7502 0.5000  4 Tl 2.85, 4 Tc 3.03-3.04, 4 Mg 3.03-3.04
Tl 0.7499 0.2499 0.5000  8 Mg 2.85-3.03, 4 Tc 3.03-3.04
Tc 0.5000 0.5000 0.0000  8 Mg 2.85-3.04, 4 Tl 3.03-3.04

Properties
- N(E_F) (states/eV per cell) = 0.20
- space group = I-4m2

Run x
Entry from Alexandria via LeMat-Bulk: a geometry-optimized Mg2TlTc structure (PBE).

Lattice parameters (Å, degrees): 5.3395 5.3395 5.3395 134.79 134.79 65.85
Closest atoms and distances in Å follow each position.
Fractional positions:
Tl 0.7500 0.2500 0.5000  4 Tc 2.90, 8 Mg 3.04
Mg 0.0000 0.0000 0.0000  4 Mg 2.90, 4 Tl 3.04, 4 Tc 3.04
Mg 0.5000 0.5000 0.0000  4 Mg 2.90, 4 Tc 3.04, 4 Tl 3.04
Tc 0.2500 0.7500 0.5000  4 Tl 2.90, 8 Mg 3.04

Properties
- N(E_F) (states/eV per cell) = 3.86
- space group = I4/mmm

Run y
Entry from Alexandria via LeMat-Bulk: a geometry-optimized Mg2TlTc structure (PBE).

Lattice parameters (Å, degrees): 7.5974 7.5974 6.0759 51.30 51.30 90.00
Closest atoms and distances in Å follow each position.
Fractional positions:
Mg 0.1440 0.6250 0.2500  2 Tc 2.68, 2 Mg 2.85, 2 Tl 2.88
Mg 0.3750 0.3940 0.7500  2 Tc 2.68, 2 Mg 2.85, 2 Tl 2.88
Mg 0.8750 0.8560 0.7500  2 Tc 2.68, 2 Mg 2.85, 2 Tl 2.88
Mg 0.6060 0.1250 0.2500  2 Tc 2.68, 2 Mg 2.85, 2 Tl 2.88
Tl 0.7500 0.2500 0.5000  2 Tc 2.84, 4 Mg 2.88
Tl 0.0000 0.0000 0.0000  2 Tc 2.84, 4 Mg 2.88
Tc 0.5000 0.5000 0.0000  4 Mg 2.68, 2 Tl 2.84
Tc 0.2500 0.7500 0.5000  4 Mg 2.68, 2 Tl 2.84

Properties
- N(E_F) (states/eV per cell) = 0.50
- space group = I-42d

Run z
Entry from Alexandria via LeMat-Bulk: a geometry-optimized Mg2TlTc structure (PBE).

Lattice parameters (Å, degrees): 4.2320 4.2320 4.2000 90.00 90.00 90.00
Closest atoms and distances in Å follow each position.
Fractional positions:
Mg 0.5000 0.5000 0.0000  4 Tl 2.98, 4 Tc 2.98, 4 Mg 2.99
Mg 0.0000 0.0000 0.0000  4 Tl 2.98, 4 Tc 2.98, 4 Mg 2.99
Tc 0.5000 0.0000 0.5000  8 Mg 2.98, 4 Tl 2.99
Tl 0.0000 0.5000 0.5000  8 Mg 2.98, 4 Tc 2.99

Properties
- N(E_F) (states/eV per cell) = 1.85
- space group = P4/mmm

Quick look at relative energies in kJ/mol of atoms: run w 0.0; run x 7.0; run y 32.6; run z 4.2.

Run w
Entry from Alexandria via LeMat-Bulk: a geometry-optimized Mg2TlTc structure (PBE).

Lattice parameters (Å, degrees): 5.1723 5.1723 5.3087 83.30 83.30 33.02
Closest atoms and distances in Å follow each position.
Fractional positions:
Tc 0.4991 0.4991 0.5183  7 Mg 2.90-3.13, 2 Tc 2.94, 3 Tl 3.02-3.04
Mg 0.7601 0.7601 0.7287  3 Tc 2.90-2.94, 5 Mg 2.90-3.17, 4 Tl 2.93-3.15
Mg 0.9981 0.9981 0.9970  5 Mg 2.90-3.17, 3 Tl 2.93-3.10, 4 Tc 2.93-3.13
Tl 0.2427 0.2427 0.2560  7 Mg 2.93-3.15, 2 Tl 2.94, 3 Tc 3.02-3.04

Properties
- N(E_F) (states/eV per cell) = 1.97
- space group = Cm

Run x
Entry from Alexandria via LeMat-Bulk: a geometry-optimized Mg2TlTc structure (PBE).

Lattice parameters (Å, degrees): 5.2595 5.2595 2.9755 89.93 89.93 112.45
Closest atoms and distances in Å follow each position.
Fractional positions:
Tl 0.0000 0.5000 0.5000  2 Tc 2.92, 2 Tl 2.98, 8 Mg 3.02
Mg 0.0000 0.0000 0.0000  4 Mg 2.92-2.98, 4 Tl 3.02, 4 Tc 3.02
Mg 0.5000 0.5000 0.0000  4 Mg 2.92-2.98, 4 Tc 3.02, 4 Tl 3.02
Tc 0.5000 0.0000 0.5000  2 Tl 2.92, 2 Tc 2.98, 8 Mg 3.02

Properties
- N(E_F) (states/eV per cell) = 2.49
- space group = C2/m

Run y
Entry from Alexandria via LeMat-Bulk: a geometry-optimized Mg2TlTc structure (PBE).

Lattice parameters (Å, degrees): 4.8919 2.9210 5.3511 90.00 90.00 90.00
Closest atoms and distances in Å follow each position.
Fractional positions:
Mg 0.0000 0.1252 0.9744  4 Mg 2.92-2.99, 4 Tc 2.97-3.13, 4 Tl 3.05
Mg 0.5000 0.1251 0.2968  4 Mg 2.92-2.99, 4 Tl 2.93-3.17, 4 Tc 2.97
Tc 0.0000 0.6250 0.4570  2 Tc 2.92, 8 Mg 2.97-3.13, 2 Tl 2.97
Tl 0.5000 0.6247 0.7718  2 Tl 2.92, 8 Mg 2.93-3.17, 2 Tc 2.97

Properties
- N(E_F) (states/eV per cell) = 1.93
- space group = Pmm2

Run z
Entry from Alexandria via LeMat-Bulk: a geometry-optimized Mg2TlTc structure (PBE).

Lattice parameters (Å, degrees): 3.5308 3.5308 6.1692 90.00 90.00 90.00
Closest atoms and distances in Å follow each position.
Fractional positions:
Tl 0.5000 0.5000 0.7320  5 Mg 2.81-3.02, 4 Tc 2.92
Mg 0.0000 0.0000 0.0064  2 Tc 2.96-3.21, 4 Mg 3.00, 4 Tl 3.02
Mg 0.5000 0.5000 0.2760  4 Tc 2.81, 1 Tl 2.81, 4 Mg 3.00
Tc 0.0000 0.0000 0.4857  5 Mg 2.81-2.96, 4 Tl 2.92

Properties
- N(E_F) (states/eV per cell) = 3.30
- space group = P4mm

Quick look at relative energies in kJ/mol of atoms: run w 2.4; run x 1.8; run y 0.0; run z 3.7.

Run w
Entry from Alexandria via LeMat-Bulk: a geometry-optimized Mg2TlTc structure (PBE).

Lattice parameters (Å, degrees): 2.9775 2.9775 9.3913 90.00 90.00 104.24
Closest atoms and distances in Å follow each position.
Fractional positions:
Mg 0.0000 0.0000 0.0365  2 Tc 2.71, 4 Mg 2.98
Mg 0.0000 0.0000 0.4635  2 Tc 2.71, 4 Mg 2.98
Tl 0.5000 0.5000 0.7500  4 Tl 2.98, 4 Mg 3.25
Tc 0.5000 0.5000 0.2500  4 Mg 2.71, 4 Tc 2.98

Properties
- N(E_F) (states/eV per cell) = 2.99
- space group = Cmmm

Run x
Entry from Alexandria via LeMat-Bulk: a geometry-optimized Mg2TlTc structure (PBE).

Lattice parameters (Å, degrees): 4.7368 4.7368 4.7368 60.00 60.00 60.00
Closest atoms and distances in Å follow each position.
Fractional positions:
Tl 0.7500 0.7500 0.7500  4 Mg 2.90, 4 Tc 2.90
Mg 0.2500 0.2500 0.2500  4 Mg 2.90, 4 Tc 2.90
Mg 0.0000 0.0000 0.0000  4 Tl 2.90, 4 Mg 2.90
Tc 0.5000 0.5000 0.5000  4 Mg 2.90, 4 Tl 2.90

Properties
- N(E_F) (states/eV per cell) = 2.63
- space group = F-43m

Quick look at relative energies in kJ/mol of atoms: run w 0.0; run x 9.3.

Run w
Entry from Alexandria via LeMat-Bulk: a geometry-optimized Tm2MgTc structure (PBE).

Lattice parameters (Å, degrees): 4.9697 4.9697 4.9697 60.00 60.00 60.00
Closest atoms and distances in Å follow each position.
Fractional positions:
Mg 0.5000 0.5000 0.5000  8 Tm 3.04
Tc 0.0000 0.0000 0.0000  8 Tm 3.04
Tm 0.2500 0.2500 0.2500  4 Tc 3.04, 4 Mg 3.04
Tm 0.7500 0.7500 0.7500  4 Tc 3.04, 4 Mg 3.04

Properties
- N(E_F) (states/eV per cell) = 3.07
- space group = Fm-3m

Run x
Entry from Alexandria via LeMat-Bulk: a geometry-optimized Tm2MgTc structure (PBE).

Lattice parameters (Å, degrees): 3.7149 4.8526 4.8526 90.00 90.00 90.00
Closest atoms and distances in Å follow each position.
Fractional positions:
Tc 0.5000 0.5000 0.5000  8 Tm 3.06
Tm 0.0000 0.0000 0.5000  4 Mg 3.06, 4 Tc 3.06
Tm 0.0000 0.5000 0.0000  4 Tc 3.06, 4 Mg 3.06
Mg 0.5000 0.0000 0.0000  8 Tm 3.06

Properties
- N(E_F) (states/eV per cell) = 4.18
- space group = P4/mmm

Run y
Entry from Alexandria via LeMat-Bulk: a geometry-optimized Tm2MgTc structure (PBE).

Lattice parameters (Å, degrees): 3.4404 3.4404 7.9645 90.00 90.00 90.00
Closest atoms and distances in Å follow each position.
Fractional positions:
Tm 0.0000 0.0000 0.7991  4 Tc 2.91, 1 Tm 3.20
Tm 0.0000 0.0000 0.2009  4 Tc 2.91, 1 Tm 3.20
Mg 0.5000 0.5000 0.5000  8 Tm 3.40, 4 Mg 3.44
Tc 0.5000 0.5000 0.0000  8 Tm 2.91

Properties
- N(E_F) (states/eV per cell) = 4.96
- space group = P4/mmm

Quick look at relative energies in kJ/mol of atoms: run w 7.2; run x 15.5; run y 0.0.

Run w
Entry from Alexandria via LeMat-Bulk: a geometry-optimized Tm4MgTc structure (PBE).

Lattice parameters (Å, degrees): 5.5865 6.5527 9.6260 90.00 117.15 90.00
Closest atoms and distances in Å follow each position.
Fractional positions:
Tm 0.0518 0.5057 0.7289  2 Tc 2.79-2.90
Tm 0.0518 0.9943 0.7289  2 Tc 2.79-2.90
Tm 0.6381 0.2500 0.8566  1 Tc 2.82
Tm 0.5799 0.2500 0.4308  2 Tc 2.83-3.14, 1 Mg 3.16
Tm 0.9482 0.4943 0.2711  2 Tc 2.79-2.90
Tm 0.9482 0.0057 0.2711  2 Tc 2.79-2.90
Tm 0.4201 0.7500 0.5692  2 Tc 2.83-3.14, 1 Mg 3.16
Tm 0.3619 0.7500 0.1434  1 Tc 2.82
Tc 0.7950 0.7500 0.4479  6 Tm 2.79-2.90
Tc 0.2050 0.2500 0.5521  6 Tm 2.79-2.90
Mg 0.2961 0.2500 0.0616  7 Tm 3.16-3.35
Mg 0.7039 0.7500 0.9384  7 Tm 3.16-3.35

Properties
- N(E_F) (states/eV per cell) = 7.86
- space group = P2_1/m

Run x
Entry from Alexandria via LeMat-Bulk: a geometry-optimized Tm4MgTc structure (PBE).

Lattice parameters (Å, degrees): 3.5365 6.2450 10.5745 130.51 90.00 106.45
Closest atoms and distances in Å follow each position.
Fractional positions:
Tm 0.0987 0.1975 0.3093  1 Tc 2.62
Tm 0.7298 0.4596 0.1279  2 Tc 2.74
Tm 0.2702 0.5404 0.8721  2 Tc 2.74
Tm 0.9013 0.8025 0.6907  1 Tc 2.62
Mg 0.5000 0.0000 0.5000  10 Tm 3.44-3.75, 2 Mg 3.54
Tc 0.0000 0.0000 0.0000  6 Tm 2.62-2.74

Properties
- N(E_F) (states/eV per cell) = 5.42
- space group = C2/m

Quick look at relative energies in kJ/mol of atoms: run w 0.0; run x 9.4.

Run w
Entry from Alexandria via LeMat-Bulk: a geometry-optimized Mg3VTc structure (PBE).

Lattice parameters (Å, degrees): 4.9287 4.9287 4.9287 90.00 90.00 90.00
Closest atoms and distances in Å follow each position.
Fractional positions:
Mg 0.5000 0.0000 0.0000  2 V 2.46
Mg 0.0000 0.0000 0.5000  2 V 2.46
Mg 0.0000 0.5000 0.0000  2 V 2.46
Tc 0.5000 0.5000 0.5000  12 Mg 3.49
V 0.0000 0.0000 0.0000  6 Mg 2.46

Properties
- N(E_F) (states/eV per cell) = 5.00
- space group = Pm-3m

Run x
Entry from Alexandria via LeMat-Bulk: a geometry-optimized Mg3VTc structure (PBE).

Lattice parameters (Å, degrees): 4.9450 4.9450 4.9450 90.00 90.00 90.00
Closest atoms and distances in Å follow each position.
Fractional positions:
Mg 0.0000 0.0000 0.5000  2 Tc 2.47
Mg 0.0000 0.5000 0.0000  2 Tc 2.47
Mg 0.5000 0.0000 0.0000  2 Tc 2.47
Tc 0.0000 0.0000 0.0000  6 Mg 2.47
V 0.5000 0.5000 0.5000  12 Mg 3.50

Properties
- N(E_F) (states/eV per cell) = 2.91
- space group = Pm-3m

Quick look at relative energies in kJ/mol of atoms: run w 41.5; run x 0.0.

Run w
Entry from Alexandria via LeMat-Bulk: a geometry-optimized Mg2VTc structure (PBE).

Lattice parameters (Å, degrees): 7.3034 7.3034 5.8042 51.01 51.01 90.00
Closest atoms and distances in Å follow each position.
Fractional positions:
V 0.2500 0.7500 0.5000  2 Tc 2.65, 4 Mg 2.70
V 0.5000 0.5000 0.0000  2 Tc 2.65, 4 Mg 2.70
Tc 0.0000 0.0000 0.0000  4 Mg 2.63, 2 V 2.65
Tc 0.7500 0.2500 0.5000  4 Mg 2.63, 2 V 2.65
Mg 0.8750 0.8814 0.7500  2 Tc 2.63, 2 Mg 2.65, 2 V 2.70
Mg 0.3750 0.3686 0.7500  2 Tc 2.63, 2 Mg 2.65, 2 V 2.70
Mg 0.1186 0.6250 0.2500  2 Tc 2.63, 2 Mg 2.65, 2 V 2.70
Mg 0.6314 0.1250 0.2500  2 Tc 2.63, 2 Mg 2.65, 2 V 2.70

Properties
- N(E_F) (states/eV per cell) = 7.45
- space group = I-42d

Run x
Entry from Alexandria via LeMat-Bulk: a geometry-optimized Mg2VTc structure (PBE).

Lattice parameters (Å, degrees): 4.5869 4.5869 4.5869 60.00 60.00 60.00
Closest atoms and distances in Å follow each position.
Fractional positions:
Tc 0.5000 0.5000 0.5000  8 Mg 2.81
Mg 0.2500 0.2500 0.2500  4 Tc 2.81, 4 V 2.81
Mg 0.7500 0.7500 0.7500  4 V 2.81, 4 Tc 2.81
V 0.0000 0.0000 0.0000  8 Mg 2.81

Properties
- N(E_F) (states/eV per cell) = 5.76
- space group = Fm-3m

Quick look at relative energies in kJ/mol of atoms: run w 23.8; run x 0.0.